Material: ZrNiPAu2
Method: DFT, PBE-GGA
State: optimized geometry

Cell and atoms, written as CIF:
```
data_ZrNiPAu2
_chemical_formula_sum 'Zr1 Ni1 P1 Au2'
_symmetry_space_group_name_H-M 'P 4/m m m'
_symmetry_Int_Tables_number 123
_symmetry_space_group_name_Hall '-P 4 2'
_cell_length_a 4.800
_cell_length_b 4.800
_cell_length_c 4.115
_cell_angle_alpha 90.00
_cell_angle_beta 90.00
_cell_angle_gamma 90.00
loop_
_atom_site_label
_atom_site_type_symbol
_atom_site_fract_x
_atom_site_fract_y
_atom_site_fract_z
_atom_site_occupancy
Zr1 Zr 0.000 0.000 0.000 1
Ni1 Ni 0.500 0.500 0.500 1
P1 P 0.500 0.500 0.000 1
Au1 Au 0.000 0.500 0.500 1
```

## Properties
**Energy of formation**: 0.123 eV per atom
**D(E_F)**: 0.674 states/eV/atom


Material: Pa2Ni3Au
Method: DFT, PBE-GGA
State: optimized geometry

Cell and atoms, written as CIF:
```
data_Pa2Ni3Au
_chemical_formula_sum 'Pa8 Ni12 Au4'
_symmetry_space_group_name_H-M 'P n m a'
_symmetry_Int_Tables_number 62
_cell_length_a 7.085
_cell_length_b 3.607
_cell_length_c 16.500
_cell_angle_alpha 90.00
_cell_angle_beta 90.00
_cell_angle_gamma 90.00
loop_
_symmetry_equiv_pos_as_xyz
'x,y,z'
'-x,-y,-z'
'-x+1/2,-y,z+1/2'
'x+1/2,y,-z+1/2'
'x+1/2,-y+1/2,-z+1/2'
'-x+1/2,y+1/2,z+1/2'
'-x,y+1/2,-z'
'x,-y+1/2,z'
loop_
_atom_site_label
_atom_site_type_symbol
_atom_site_fract_x
_atom_site_fract_y
_atom_site_fract_z
_atom_site_occupancy
Pa1 Pa 0.086 0.250 0.215 1
Pa2 Pa 0.152 0.250 0.433 1
Ni1 Ni 0.092 0.250 0.661 1
Ni2 Ni 0.210 0.750 0.555 1
Ni3 Ni 0.226 0.250 0.808 1
Au1 Au 0.019 0.750 0.070 1
```

## Properties
**Energy of formation**: -0.396 eV per atom
**D(E_F)**: 0.991 states/eV/atom